Entry 1:
Below is crystalline AcUGa2O8 at its relaxed geometry, with properties calculated at the PBE level.

Unit cell a=4.805 b=4.849 c=7.773 alpha=84.97 beta=84.85 gamma=78.05
Sites, in units of the cell vectors:
O: 0.796 0.235 0.779
O: 0.267 0.262 0.969
O: 0.769 0.210 0.221
O: 0.733 0.738 0.031
O: 0.204 0.765 0.221
O: 0.652 0.668 0.460
O: 0.348 0.332 0.540
O: 0.231 0.790 0.779
U: 0.000 0.000 0.000
Ac: 0.000 0.000 0.500
Ga: 0.578 0.579 0.242
Ga: 0.422 0.421 0.758

Computed properties:
DOS(E_F), states/eV per atom: 0.0103
SG: P-1, No. 2
Raw formation energy, eV/atom: -2.391
Total DFT energy (no corrections), eV per atom: -7.48



Entry 2:
Below is crystalline Ac2UGaO8 at its relaxed geometry, with properties calculated at the PBE level.

Unit cell a=6.961 b=6.961 c=5.320 alpha=90.00 beta=90.00 gamma=120.00
Sites, in units of the cell vectors:
O: 0.259 0.130 0.760
O: 0.130 0.259 0.240
O: 0.741 0.870 0.240
O: 0.130 0.870 0.240
O: 0.667 0.333 0.236
O: 0.870 0.741 0.760
O: 0.333 0.667 0.764
O: 0.870 0.130 0.760
Ga: 0.000 0.000 0.000
U: 0.000 0.000 0.500
Ac: 0.667 0.333 0.794
Ac: 0.333 0.667 0.206

Computed properties:
DOS(E_F), states/eV per atom: 0.9030
SG: P-3m1, No. 164
Raw formation energy, eV/atom: -2.448
Total DFT energy (no corrections), eV per atom: -7.63



Entry 3:
Below is crystalline AcUGaO6 at its relaxed geometry, with properties calculated at the PBE level.

Unit cell a=5.132 b=5.132 c=10.224 alpha=90.00 beta=90.00 gamma=90.00
Sites, in units of the cell vectors:
O: 0.210 0.790 0.196
O: 0.290 0.290 0.696
O: 0.290 0.290 0.305
O: 0.710 0.710 0.696
O: 0.167 0.833 0.495
O: 0.333 0.333 0.995
O: 0.790 0.210 0.805
O: 0.790 0.210 0.196
O: 0.667 0.667 0.995
O: 0.210 0.790 0.805
O: 0.833 0.167 0.495
O: 0.710 0.710 0.305
Ga: 0.500 0.500 0.833
Ga: 0.000 0.000 0.333
U: 0.000 0.000 0.667
U: 0.500 0.500 0.167
Ac: 0.500 0.500 0.507
Ac: 0.000 0.000 0.007

Computed properties:
DOS(E_F), states/eV per atom: 0.0000
SG: P4_2nm, No. 102
Raw formation energy, eV/atom: -2.714
Total DFT energy (no corrections), eV per atom: -8.07